A plane-wave DFT calculation with PBE was carried out for a relaxed Ac8Ru3Au crystal.

Computed properties:
volume = 446.9 Å³/f.u.
crystal system = trigonal
formation enthalpy at 0 K = -0.281 eV per atom
total magnetic moment = 0.0 μB per cell
E = -5.612 eV/atom
density = 8.61 g cm⁻³

abc: 8.8828 8.8822 8.3060
angles: 122.26 90.00 120.00
Last column: nearest neighbours and their distance in Å.
Sites, in units of the cell vectors:
Ru: 0.5000 0.0000 0.0000  6 Ac 2.93-3.02
Ru: 0.5000 0.5000 0.0000  6 Ac 2.93-3.02
Ru: 0.0000 0.5000 0.0000  6 Ac 2.93-3.02
Ac: 0.2765 0.0199 0.7633  2 Ru 2.93, 1 Au 3.14
Ac: 0.7235 0.9801 0.2367  2 Ru 2.93, 1 Au 3.14
Ac: 0.7433 0.4867 0.7628  2 Ru 2.93, 1 Au 3.14
Ac: 0.2567 0.5133 0.2372  2 Ru 2.93, 1 Au 3.14
Ac: 0.2521 0.5042 0.7565  3 Ru 3.02
Ac: 0.2566 0.9801 0.2367  2 Ru 2.93, 1 Au 3.14
Ac: 0.7479 0.4958 0.2435  3 Ru 3.02
Ac: 0.7434 0.0199 0.7633  2 Ru 2.93, 1 Au 3.14
Au: 0.0000 0.0000 0.0000  6 Ac 3.14

=====

A plane-wave DFT calculation with PBE was carried out for a relaxed MgTlPt4 crystal.

Computed properties:
volume = 110.4 Å³/f.u.
crystal system = cubic
formation enthalpy at 0 K = -0.296 eV per atom
total magnetic moment = 0.0 μB per cell
E = -4.983 eV/atom
density = 15.18 g cm⁻³

abc: 5.3842 5.3842 5.3842
angles: 60.00 60.00 60.00
Last column: nearest neighbours and their distance in Å.
Sites, in units of the cell vectors:
Pt: 0.3750 0.3750 0.8751  6 Pt 2.69
Pt: 0.3750 0.8751 0.3750  6 Pt 2.69
Pt: 0.3750 0.3750 0.3750  6 Pt 2.69
Pt: 0.8751 0.3750 0.3750  6 Pt 2.69
Mg: 0.0000 0.0000 0.0000  12 Pt 3.16, 4 Tl 3.30
Tl: 0.7500 0.7500 0.7500  12 Pt 3.16, 4 Mg 3.30

=====

A plane-wave DFT calculation with PBE was carried out for a relaxed PmInBi2 crystal.

Computed properties:
volume = 120.9 Å³/f.u.
crystal system = tetragonal
formation enthalpy at 0 K = -0.356 eV per atom
total magnetic moment = 0.0 μB per cell
E = -4.168 eV/atom
density = 9.31 g cm⁻³

abc: 3.5281 5.8536 5.8536
angles: 90.00 90.00 90.00
Last column: nearest neighbours and their distance in Å.
Sites, in units of the cell vectors:
Bi: 0.0000 0.5000 0.0000  4 In 3.42, 4 Pm 3.42, 2 Bi 3.53
Bi: 0.0000 0.0000 0.5000  4 In 3.42, 4 Pm 3.42, 2 Bi 3.53
In: 0.5000 0.0000 0.0000  8 Bi 3.42, 2 In 3.53
Pm: 0.5000 0.5000 0.5000  8 Bi 3.42, 2 Pm 3.53

=====

A plane-wave DFT calculation with PBE was carried out for a relaxed CrIr4Pb crystal.

Computed properties:
volume = 104.4 Å³/f.u.
crystal system = cubic
formation enthalpy at 0 K = 0.468 eV per atom
total magnetic moment = 2.4 μB per cell
E = -7.661 eV/atom
density = 16.35 g cm⁻³

abc: 5.2855 5.2855 5.2855
angles: 60.00 60.00 60.00
Last column: nearest neighbours and their distance in Å.
Sites, in units of the cell vectors:
Ir: 0.6254 0.6254 0.6254  6 Ir 2.64-2.65
Ir: 0.6254 0.1239 0.6254  6 Ir 2.64-2.65
Ir: 0.6254 0.6254 0.1239  6 Ir 2.64-2.65
Ir: 0.1239 0.6254 0.6254  6 Ir 2.64-2.65
Cr: 0.0000 0.0000 0.0000  12 Ir 3.10, 4 Pb 3.24
Pb: 0.2500 0.2500 0.2500  12 Ir 3.10, 4 Cr 3.24

=====

A plane-wave DFT calculation with PBE was carried out for a relaxed CsSnHBr2 crystal.

Computed properties:
volume = 159.7 Å³/f.u.
crystal system = tetragonal
total magnetic moment = 0.0 μB per cell
E = -3.098 eV/atom
density = 4.29 g cm⁻³

abc: 6.0130 6.0130 4.4158
angles: 90.00 90.00 90.00
Last column: nearest neighbours and their distance in Å.
Sites, in units of the cell vectors:
Cs: 0.5000 0.5000 0.5000  8 Br 3.73
Br: 0.5000 0.0000 0.0000  2 Sn 3.01
Br: 0.0000 0.5000 0.0000  2 Sn 3.01
H: 0.0000 0.0000 0.5000  2 Sn 2.21
Sn: 0.0000 0.0000 0.0000  2 H 2.21

=====

A plane-wave DFT calculation with PBE was carried out for a relaxed Sm4Dy3Y8 crystal.

Computed properties:
volume = 499.5 Å³/f.u.
crystal system = trigonal
formation enthalpy at 0 K = 0.134 eV per atom
total magnetic moment = 0.0 μB per cell
E = -5.492 eV/atom
density = 5.98 g cm⁻³

abc: 6.9883 6.9883 12.4808
angles: 73.74 73.74 60.00
Last column: nearest neighbours and their distance in Å.
Sites, in units of the cell vectors:
Y: 0.7548 0.7548 0.7356  1 Sm 3.23, 3 Dy 3.44, 6 Y 3.50
Y: 0.2480 0.7502 0.2516  6 Y 3.48-3.51, 3 Sm 3.51-3.59, 2 Dy 3.56
Y: 0.2498 0.7520 0.7484  6 Y 3.48-3.51, 3 Sm 3.51-3.59, 2 Dy 3.56
Y: 0.7502 0.2480 0.2516  6 Y 3.48-3.51, 3 Sm 3.51-3.59, 2 Dy 3.56
Y: 0.7502 0.7502 0.2516  6 Y 3.48-3.51, 3 Sm 3.51-3.59, 2 Dy 3.56
Y: 0.2452 0.2452 0.2644  1 Sm 3.23, 3 Dy 3.44, 6 Y 3.50
Y: 0.2498 0.2498 0.7484  6 Y 3.48-3.51, 3 Sm 3.51-3.59, 2 Dy 3.56
Y: 0.7520 0.2498 0.7484  6 Y 3.48-3.51, 3 Sm 3.51-3.59, 2 Dy 3.56
Dy: 0.0000 0.5000 0.5000  6 Y 3.44-3.56, 4 Dy 3.49, 2 Sm 3.49
Dy: 0.0000 0.0000 0.5000  6 Y 3.44-3.56, 4 Dy 3.49, 2 Sm 3.49
Dy: 0.5000 0.0000 0.5000  6 Y 3.44-3.56, 2 Sm 3.49, 4 Dy 3.49
Sm: 0.6637 0.6637 0.0088  4 Y 3.23-3.51
Sm: 0.5000 0.5000 0.5000  6 Dy 3.49, 6 Y 3.57
Sm: 0.0000 0.0000 0.0000  6 Y 3.59
Sm: 0.3363 0.3363 0.9912  4 Y 3.23-3.51

=====

A plane-wave DFT calculation with PBE was carried out for a relaxed Tl2SiC crystal.

Computed properties:
volume = 95.5 Å³/f.u.
crystal system = tetragonal
total magnetic moment = 0.0 μB per cell
E = -3.524 eV/atom
density = 7.80 g cm⁻³

abc: 5.9581 5.9581 6.8338
angles: 64.16 64.16 90.00
Last column: nearest neighbours and their distance in Å.
Sites, in units of the cell vectors:
Tl: 0.8750 0.8118 0.7500  2 C 2.29
Tl: 0.5618 0.1250 0.2500  2 C 2.29
Tl: 0.1882 0.6250 0.2500  2 C 2.29
Tl: 0.3750 0.4382 0.7500  2 C 2.29
Si: 0.7500 0.2500 0.5000  4 Tl 2.74
Si: 0.0000 0.0000 0.0000  4 Tl 2.74
C: 0.5000 0.5000 0.0000  4 Tl 2.29
C: 0.2500 0.7500 0.5000  4 Tl 2.29

=====

A plane-wave DFT calculation with PBE was carried out for a relaxed PmEu2Cd crystal.

Computed properties:
volume = 136.9 Å³/f.u.
crystal system = tetragonal
formation enthalpy at 0 K = -0.107 eV per atom
total magnetic moment = 15.1 μB per cell
E = -6.661 eV/atom
density = 6.81 g cm⁻³

abc: 3.8210 3.8210 9.3750
angles: 90.00 90.00 90.00
Last column: nearest neighbours and their distance in Å.
Sites, in units of the cell vectors:
Pm: 0.5000 0.5000 0.5000  8 Eu 3.79, 4 Pm 3.82
Cd: 0.5000 0.5000 0.0000  8 Eu 3.38
Eu: 0.0000 0.0000 0.2161  4 Cd 3.38
Eu: 0.0000 0.0000 0.7839  4 Cd 3.38

=====

A plane-wave DFT calculation with PBE was carried out for a relaxed YEr3Sc3 crystal.

Computed properties:
volume = 198.5 Å³/f.u.
crystal system = hexagonal
formation enthalpy at 0 K = 0.021 eV per atom
total magnetic moment = 2.5 μB per cell
E = -5.571 eV/atom
density = 6.07 g cm⁻³

abc: 5.4197 9.1981 9.1981
angles: 120.00 90.00 90.00
Last column: nearest neighbours and their distance in Å.
Sites, in units of the cell vectors:
Er: 0.2500 0.2425 0.0446  5 Sc 3.36-3.53, 6 Er 3.40-3.56, 1 Y 3.45
Er: 0.2500 0.9554 0.1979  5 Sc 3.36-3.53, 6 Er 3.40-3.56, 1 Y 3.45
Er: 0.7500 0.1979 0.2425  5 Sc 3.36-3.53, 6 Er 3.40-3.56, 1 Y 3.45
Er: 0.2500 0.8021 0.7575  5 Sc 3.36-3.53, 6 Er 3.40-3.56, 1 Y 3.45
Er: 0.7500 0.0446 0.8021  5 Sc 3.36-3.53, 6 Er 3.40-3.56, 1 Y 3.45
Er: 0.7500 0.7575 0.9554  5 Sc 3.36-3.53, 6 Er 3.40-3.56, 1 Y 3.45
Y: 0.2500 0.6667 0.3333  9 Sc 3.37-3.46, 3 Er 3.45
Y: 0.7500 0.3333 0.6667  9 Sc 3.37-3.46, 3 Er 3.45
Sc: 0.2500 0.0945 0.6151  4 Sc 3.34-3.47, 5 Er 3.36-3.53, 3 Y 3.37-3.46
Sc: 0.2500 0.5206 0.9055  4 Sc 3.34-3.47, 5 Er 3.36-3.53, 3 Y 3.37-3.46
Sc: 0.7500 0.4794 0.0945  4 Sc 3.34-3.47, 5 Er 3.36-3.53, 3 Y 3.37-3.46
Sc: 0.2500 0.3849 0.4794  4 Sc 3.34-3.47, 5 Er 3.36-3.53, 3 Y 3.37-3.46
Sc: 0.7500 0.6151 0.5206  4 Sc 3.34-3.47, 5 Er 3.36-3.53, 3 Y 3.37-3.46
Sc: 0.7500 0.9055 0.3849  4 Sc 3.34-3.47, 5 Er 3.36-3.53, 3 Y 3.37-3.46

=====

A plane-wave DFT calculation with PBE was carried out for a relaxed Ac2DyPu crystal.

Computed properties:
volume = 147.8 Å³/f.u.
crystal system = tetragonal
formation enthalpy at 0 K = 0.164 eV per atom
total magnetic moment = 6.2 μB per cell
E = -6.624 eV/atom
density = 9.67 g cm⁻³

abc: 3.7800 3.7800 10.3463
angles: 90.00 90.00 90.00
Last column: nearest neighbours and their distance in Å.
Sites, in units of the cell vectors:
Ac: 0.0000 0.0000 0.2482  4 Pu 3.71, 4 Dy 3.73, 4 Ac 3.78
Ac: 0.0000 0.0000 0.7518  4 Pu 3.71, 4 Dy 3.73, 4 Ac 3.78
Pu: 0.5000 0.5000 0.0000  8 Ac 3.71, 4 Pu 3.78
Dy: 0.5000 0.5000 0.5000  8 Ac 3.73, 4 Dy 3.78

=====

Q: E of number 10 (Ac2DyPu)?
A: -6.624 eV/atom

=====

Q: The highest volume belongs to which entry?
A: Sm4Dy3Y8

=====

Q: The lowest density belongs to which entry?
A: CsSnHBr2